Record 1
Ac2AlHg2: optimized geometry, PBE.

Calculated values
ΔE to the lowest computed polymorph	33	kJ/mol of formula units
V	32.57	Å³ per atom
SG	Ibam (72)
energy of formation	-0.352	eV/atom
Fermi-level density of states	6.8	states/eV per cell

Cell lengths 6.578, 7.168, 8.448 Å; angles 115.10, 112.91, 90.00 degrees
Fractional positions:
Ac 0.854 0.659 0.709
Ac 0.146 0.341 0.291
Ac 0.646 0.950 0.291
Ac 0.354 0.050 0.709
Al 0.750 0.500 0.000
Al 0.250 0.500 0.000
Hg 0.388 0.612 0.776
Hg 0.612 0.388 0.224
Hg 0.112 0.836 0.224
Hg 0.888 0.164 0.776


Record 2
Ho2Ni4Ge3Pd: optimized geometry, PBE.

Calculated values
V	16.14	Å³ per atom
SG	P-4m2 (115)
energy of formation	-0.631	eV/atom
Fermi-level density of states	8.2	states/eV per cell

Cell lengths 3.962, 3.962, 10.286 Å; angles 90.00, 90.00, 90.00 degrees
Fractional positions:
Ho 0.500 0.000 0.250
Ho 0.000 0.500 0.750
Ni 0.500 0.500 0.000
Ni 0.000 0.000 0.000
Ni 0.500 0.000 0.647
Ni 0.000 0.500 0.353
Ge 0.000 0.000 0.500
Ge 0.500 0.000 0.872
Ge 0.000 0.500 0.128
Pd 0.500 0.500 0.500


Record 3
Sm8Dy6Ho: optimized geometry, PBE.

Calculated values
ΔE to the lowest computed polymorph	78	kJ/mol of formula units
V	33.28	Å³ per atom
SG	P-3 (147)
energy of formation	0.178	eV/atom
Fermi-level density of states	23.3	states/eV per cell

Cell lengths 6.526, 9.398, 9.398 Å; angles 120.00, 90.00, 90.00 degrees
Fractional positions:
Sm 0.833 0.034 0.284
Sm 0.833 0.716 0.750
Sm 0.833 0.250 0.966
Sm 0.167 0.966 0.716
Sm 0.167 0.284 0.250
Sm 0.167 0.750 0.034
Sm 0.879 0.333 0.667
Sm 0.121 0.667 0.333
Dy 0.661 0.654 0.092
Dy 0.661 0.908 0.563
Dy 0.661 0.437 0.346
Dy 0.339 0.346 0.908
Dy 0.339 0.092 0.437
Dy 0.339 0.563 0.654
Ho 0.500 0.000 0.000


Record 4
HfNiP3: optimized geometry, PBE.

Calculated values
ΔE to the lowest computed polymorph	0	kJ/mol of formula units
V	16.77	Å³ per atom
SG	Pm-3m (221)
energy of formation	0.238	eV/atom
Fermi-level density of states	3.5	states/eV per cell

Cell lengths 4.377, 4.377, 4.377 Å; angles 90.00, 90.00, 90.00 degrees
Fractional positions:
Ni 0.000 0.000 0.000
Hf 0.500 0.500 0.500
P 0.000 0.500 0.000
P 0.000 0.000 0.500
P 0.500 0.000 0.000


Record 5
BaSiBr2: optimized geometry, PBE.

Calculated values
ΔE to the lowest computed polymorph	117	kJ/mol of formula units
V	48.62	Å³ per atom
SG	R-3m (166)
Fermi-level density of states	4.0	states/eV per cell

Cell lengths 9.944, 9.944, 9.944 Å; angles 28.24, 28.24, 28.24 degrees
Site moments in Bohr magnetons follow the coordinates.
Fractional positions:
Ba 0.750 0.750 0.750  0.01
Br 0.026 0.026 0.026  0.02
Br 0.474 0.474 0.474  0.02
Si 0.250 0.250 0.250  0.55


Record 6
ZrCr2Ni2: optimized geometry, PBE.

Calculated values
ΔE to the lowest computed polymorph	53	kJ/mol of formula units
V	13.31	Å³ per atom
SG	P4/mbm (127)
energy of formation	0.155	eV/atom
Fermi-level density of states	9.5	states/eV per cell

Cell lengths 7.225, 7.225, 2.550 Å; angles 90.00, 90.00, 90.00 degrees
Fractional positions:
Ni 0.379 0.879 0.000
Ni 0.879 0.621 0.000
Ni 0.621 0.121 0.000
Ni 0.121 0.379 0.000
Zr 0.000 0.000 0.000
Zr 0.500 0.500 0.000
Cr 0.172 0.672 0.500
Cr 0.672 0.828 0.500
Cr 0.828 0.328 0.500
Cr 0.328 0.172 0.500


Record 7
SrH2W: optimized geometry, PBE.

Calculated values
ΔE to the lowest computed polymorph	384	kJ/mol of formula units
V	13.87	Å³ per atom
SG	Fm-3m (225)
Fermi-level density of states	6.4	states/eV per cell

Cell lengths 4.281, 4.281, 4.281 Å; angles 60.00, 60.00, 60.00 degrees
Fractional positions:
Sr 0.000 0.000 0.000
W 0.500 0.500 0.500
H 0.250 0.250 0.250
H 0.750 0.750 0.750


Record 8
Ti2Al3V2: optimized geometry, PBE.

Calculated values
V	15.22	Å³ per atom
SG	Cmmm (65)
energy of formation	-0.282	eV/atom
Fermi-level density of states	5.4	states/eV per cell

Cell lengths 4.245, 2.680, 9.605 Å; angles 90.00, 77.23, 90.00 degrees
Fractional positions:
Ti 0.574 0.500 0.852
Ti 0.426 0.500 0.148
Al 0.846 0.000 0.308
Al 0.000 0.000 0.000
Al 0.154 0.000 0.692
V 0.714 0.500 0.571
V 0.286 0.500 0.429


Record 9
Cr2RuSeS: optimized geometry, PBE.

Calculated values
energy	-0.2345	hartree per atom
V	21.77	Å³ per atom
SG	P4/mmm (123)
Fermi-level density of states	4.4	states/eV per cell

Cell lengths 4.942, 4.458, 4.942 Å; angles 90.00, 90.00, 90.00 degrees
Site moments in Bohr magnetons follow the coordinates.
Fractional positions:
Ru 0.000 0.000 0.000  -0.45
S 0.500 0.500 0.500  -0.27
Se 0.000 0.500 0.000  -0.04
Cr 0.000 0.000 0.500  3.40
Cr 0.500 0.000 0.000  3.85


Record 10
Tb4ScS5: optimized geometry, PBE.

Calculated values
energy	-0.2392	hartree per atom
V	20.77	Å³ per atom
SG	I4/mmm (139)
Fermi-level density of states	4.3	states/eV per cell

Cell lengths 3.888, 3.888, 14.010 Å; angles 97.98, 97.98, 90.00 degrees
Fractional positions:
Tb 0.400 0.400 0.801
Tb 0.803 0.803 0.606
Tb 0.197 0.197 0.394
Tb 0.600 0.600 0.199
Sc 0.000 0.000 0.000
S 0.096 0.096 0.192
S 0.500 0.500 0.000
S 0.904 0.904 0.808
S 0.299 0.299 0.598
S 0.701 0.701 0.402


Record 11
BeInSe: optimized geometry, PBE.

Calculated values
ΔE to the lowest computed polymorph	76	kJ/mol of formula units
V	21.36	Å³ per atom
SG	I4mm (107)
Fermi-level density of states	0.5	states/eV per cell

Cell lengths 6.322, 6.322, 6.322 Å; angles 149.72, 149.72, 43.36 degrees
Fractional positions:
Be 0.095 0.095 0.000
Se 0.574 0.574 0.000
In 0.331 0.331 0.000


Record 12
Na2MgCl2F2: optimized geometry, PBE.

Calculated values
energy	-0.1524	hartree per atom
V	17.28	Å³ per atom
SG	I4/mmm (139)
Fermi-level density of states	0.0	states/eV per cell

Cell lengths 3.977, 3.977, 8.148 Å; angles 104.12, 104.12, 90.00 degrees
Fractional positions:
Na 0.364 0.364 0.727
Na 0.636 0.636 0.273
Mg 0.000 0.000 0.000
Cl 0.166 0.166 0.332
Cl 0.834 0.834 0.668
F 0.000 0.500 0.000
F 0.500 0.000 0.000